[1]
Entry from Alexandria: LiPrTmFe after structural relaxation (PBE-GGA).

a = 4.9456 Å, b = 4.9456 Å, c = 4.9456 Å
α = 60.00°, β = 60.00°, γ = 60.00°
Fractional positions:
Li1 0.0000 0.0000 0.0000
Pr1 0.2500 0.2500 0.2500
Tm1 0.7500 0.7500 0.7500
Fe1 0.5000 0.5000 0.5000

Values from the calculation:
Total magnetic moment ... 0.8 μB per formula unit
Energy of formation ... 0.135 eV/atom
Space group ... No. 216

---

[2]
Entry from Alexandria: LiPrYFe after structural relaxation (PBE-GGA).

a = 4.9991 Å, b = 4.9991 Å, c = 4.9991 Å
α = 60.00°, β = 60.00°, γ = 60.00°
Fractional positions:
Li1 0.0000 0.0000 0.0000
Pr1 0.2500 0.2500 0.2500
Y1 0.7500 0.7500 0.7500
Fe1 0.5000 0.5000 0.5000

Values from the calculation:
Total magnetic moment ... 0.8 μB per formula unit
Energy of formation ... 0.153 eV/atom
Space group ... No. 216

---

[3]
Entry from Alexandria: LiFe3Pt after structural relaxation (PBE-GGA).

a = 3.9981 Å, b = 3.9981 Å, c = 3.9981 Å
α = 90.00°, β = 90.00°, γ = 90.00°
Fractional positions:
Li1 0.0000 0.0000 0.0000
Fe1 0.0000 0.0000 0.5000
Fe2 0.0000 0.5000 0.0000
Fe3 0.5000 0.0000 0.0000
Pt1 0.5000 0.5000 0.5000

Values from the calculation:
Total magnetic moment ... 8.4 μB per formula unit
Energy of formation ... 0.756 eV/atom
Space group ... No. 221
Energy above the most stable polymorph in this dataset ... 0 meV/atom